[1]
! PBE AcBi3Rh3, optimized geometry; values from VASP
! DFT total energy: -79.161 eV/cell
! DFT formation energy: -1.8 eV per formula unit
&SYSTEM
  ibrav = 0, nat = 14, ntyp = 3
/
ATOMIC_SPECIES
Ac 227.00 Ac.upf
Bi 208.98 Bi.upf
Rh 102.91 Rh.upf
CELL_PARAMETERS angstrom
4.3488 2.5108 5.4308
-4.3488 2.5108 5.4308
0.0000 -5.0216 5.4308
ATOMIC_POSITIONS angstrom
Ac 0.0000 0.0000 2.7090
Ac 0.0000 0.0000 13.5834
Bi -2.3573 0.0672 6.5399
Bi -1.2368 -2.0079 9.7525
Bi 1.1205 -2.0751 6.5399
Bi -1.1205 2.0751 9.7525
Bi 1.2368 2.0079 6.5399
Bi 2.3573 -0.0672 9.7525
Rh -1.6855 -2.8426 7.0463
Rh -3.3045 0.0384 9.2461
Rh -1.6190 2.8810 7.0463
Rh 1.6190 -2.8810 9.2461
Rh 3.3045 -0.0384 7.0463
Rh 1.6855 2.8426 9.2461

[2]
! PBE AcBiRh2, optimized geometry; values from VASP
! DFT total energy: -97.768 eV/cell
! DFT formation energy: -1.7 eV per formula unit
&SYSTEM
  ibrav = 0, nat = 16, ntyp = 3
/
ATOMIC_SPECIES
Ac 227.00 Ac.upf
Bi 208.98 Bi.upf
Rh 102.91 Rh.upf
CELL_PARAMETERS angstrom
4.2970 0.0000 0.0000
0.0000 12.2360 0.0000
0.0000 0.0000 7.0409
ATOMIC_POSITIONS angstrom
Ac 0.0000 0.7518 1.7602
Ac 0.0000 11.4841 5.2807
Ac 2.1485 5.3662 5.2807
Ac 2.1485 6.8698 1.7602
Bi 0.0000 2.6921 5.2807
Bi 0.0000 9.5438 1.7602
Bi 2.1485 3.4258 1.7602
Bi 2.1485 8.8101 5.2807
Rh 0.0000 4.7249 0.3783
Rh 0.0000 4.7249 3.1422
Rh 0.0000 7.5111 3.8987
Rh 0.0000 7.5111 6.6627
Rh 2.1485 1.3931 3.8987
Rh 2.1485 1.3931 6.6627
Rh 2.1485 10.8428 0.3783
Rh 2.1485 10.8428 3.1422

[3]
! PBE Ac12BiRh6, optimized geometry; values from VASP
! DFT total energy: -108.227 eV/cell
! DFT formation energy: -10.9 eV per formula unit
&SYSTEM
  ibrav = 0, nat = 19, ntyp = 3
/
ATOMIC_SPECIES
Ac 227.00 Ac.upf
Bi 208.98 Bi.upf
Rh 102.91 Rh.upf
CELL_PARAMETERS angstrom
-5.4206 5.4206 5.4206
5.4206 -5.4206 5.4206
5.4206 5.4206 -5.4206
ATOMIC_POSITIONS angstrom
Ac 5.4206 -2.0195 3.4567
Ac 3.4011 1.9639 0.0000
Ac 7.4400 1.9639 0.0000
Ac 3.4567 5.4206 -2.0195
Ac 1.9639 0.0000 3.4011
Ac 0.0000 3.4011 1.9639
Ac 5.4206 2.0195 3.4567
Ac 3.4567 5.4206 2.0195
Ac 1.9639 0.0000 7.4400
Ac -2.0195 3.4567 5.4206
Ac 2.0195 3.4567 5.4206
Ac 0.0000 7.4400 1.9639
Bi 0.0000 0.0000 0.0000
Rh 5.4206 0.0000 1.4388
Rh 5.4206 3.9818 0.0000
Rh 1.4388 5.4206 0.0000
Rh 3.9818 0.0000 5.4206
Rh 0.0000 1.4388 5.4206
Rh 0.0000 5.4206 3.9818

[4]
! PBE AcBi3Rh, optimized geometry; values from VASP
! DFT total energy: -50.805 eV/cell
! DFT formation energy: -2.3 eV per formula unit
&SYSTEM
  ibrav = 0, nat = 10, ntyp = 3
/
ATOMIC_SPECIES
Ac 227.00 Ac.upf
Bi 208.98 Bi.upf
Rh 102.91 Rh.upf
CELL_PARAMETERS angstrom
7.1081 0.0000 0.0000
0.0000 6.4092 0.0000
0.0000 0.0000 6.6120
ATOMIC_POSITIONS angstrom
Ac 0.0000 0.9150 0.0000
Ac 3.5541 5.4941 3.3060
Bi 0.0000 5.7077 3.5589
Bi 1.7046 2.1618 2.9304
Bi 1.8495 4.2474 6.2364
Bi 3.5541 0.7015 0.2529
Bi 5.2586 4.2474 6.2364
Bi 5.4035 2.1618 2.9304
Rh 0.0000 3.8739 1.5684
Rh 3.5541 2.5352 4.8744